Entry 1:
DFT (PBE) results for crystalline NbInAuSeS2 at its relaxed geometry.

Output
Electronic total energy in eV per formula unit: -30.8
Space group: No. 63
Mass density in g cm⁻³: 6.63

Cell lengths 7.938, 7.938, 10.077 Å; angles 90.00, 90.00, 154.37 degrees
Last column: magnetic moment on the atom in μB.
Element x y z (fractional)
Nb: 0.000 0.000 0.000  0.19
Nb: 0.000 0.000 0.500  0.17
Au: 0.677 0.323 0.750  0.00
Au: 0.323 0.677 0.250  0.00
In: 0.683 0.317 0.250  0.01
In: 0.317 0.683 0.750  0.01
Se: 0.041 0.959 0.250  -0.01
Se: 0.959 0.041 0.750  -0.01
S: 0.614 0.386 0.528  0.00
S: 0.386 0.614 0.472  0.00
S: 0.614 0.386 0.972  0.00
S: 0.386 0.614 0.028  0.00

***

Entry 2:
DFT (PBE) results for crystalline DySi2Ir at its relaxed geometry.

Output
Electronic total energy in eV per formula unit: -26.6
Space group: No. 26
Mass density in g cm⁻³: 9.29

Cell lengths 4.385, 4.537, 7.380 Å; angles 90.00, 90.00, 90.00 degrees
Element x y z (fractional)
Si: 0.000 0.019 0.939
Si: 0.000 0.981 0.439
Si: 0.500 0.721 0.001
Si: 0.500 0.279 0.501
Ir: 0.500 0.785 0.355
Ir: 0.500 0.215 0.855
Dy: 0.000 0.447 0.205
Dy: 0.000 0.553 0.705

***

Entry 3:
DFT (PBE) results for crystalline Pu at its relaxed geometry.

Output
Electronic total energy in eV per formula unit: -14.0
Energy of formation from the pure elements in eV/atom: 0.160
Space group: No. 166
Mass density in g cm⁻³: 15.16

Cell lengths 3.387, 3.387, 8.301 Å; angles 101.77, 78.23, 120.00 degrees
Last column: magnetic moment on the atom in μB.
Element x y z (fractional)
Pu: 0.222 0.778 0.333  5.40
Pu: 0.000 0.000 0.000  5.37
Pu: 0.778 0.222 0.667  5.40

***

Entry 4:
DFT (PBE) results for crystalline DyIn2O4 at its relaxed geometry.

Output
Electronic total energy in eV per formula unit: -43.7
Space group: No. 141
Mass density in g cm⁻³: 7.48

Cell lengths 6.591, 6.591, 6.591 Å; angles 119.97, 90.05, 119.97 degrees
Element x y z (fractional)
O: 0.153 0.769 0.384
O: 0.616 0.769 0.385
O: 0.615 0.231 0.384
O: 0.135 0.269 0.866
O: 0.597 0.731 0.866
O: 0.134 0.269 0.403
O: 0.134 0.731 0.865
O: 0.616 0.231 0.847
Dy: 0.000 0.000 0.000
Dy: 0.750 0.500 0.250
In: 0.875 0.250 0.625
In: 0.375 0.750 0.625
In: 0.375 0.750 0.125
In: 0.375 0.250 0.625

***

Entry 5:
DFT (PBE) results for crystalline DyGeB at its relaxed geometry.

Output
Electronic total energy in eV per formula unit: -13.9
Space group: No. 216
Mass density in g cm⁻³: 6.92

Cell lengths 4.370, 4.370, 4.370 Å; angles 60.00, 60.00, 60.00 degrees
Element x y z (fractional)
B: 0.250 0.250 0.250
Ge: 0.000 0.000 0.000
Dy: 0.750 0.750 0.750

***

Entry 6:
DFT (PBE) results for crystalline Gd2DyCo2B2C3 at its relaxed geometry.

Output
Electronic total energy in eV per formula unit: -72.1
Space group: No. 139
Mass density in g cm⁻³: 8.22

Cell lengths 10.580, 10.580, 10.580 Å; angles 160.51, 160.51, 27.70 degrees
Last column: magnetic moment on the atom in μB.
Element x y z (fractional)
Gd: 0.375 0.375 0.000  -0.01
Gd: 0.625 0.625 0.000  -0.01
Dy: 0.000 0.000 0.000  0.00
Co: 0.750 0.250 0.500  0.64
Co: 0.250 0.750 0.500  0.64
C: 0.878 0.878 0.000  0.04
C: 0.500 0.500 0.000  0.05
C: 0.122 0.122 0.000  0.04
B: 0.195 0.195 0.000  -0.03
B: 0.805 0.805 0.000  -0.03

***

Q: The highest electronic total energy belongs to which entry?
A: DyGeB

***

Q: Which of these has the highest electronic total energy?
A: DyGeB